Record 1
{
  "formula": "Mn2Al",
  "functional": "GGA-PBE",
  "state": "relaxed",
  "dft_energy_ev_per_atom": -6.875,
  "volume_a3_per_cell": 49.5,
  "sg": "P4/mmm, No. 123",
  "lattice": [[4.201, 0.000, 0.000], [0.000, 4.201, 0.000], [0.000, 0.000, 2.803]],
  "species": ["Mn", "Mn", "Al"],
  "fractional_positions": [[0.000, 0.500, 0.000], [0.500, 0.000, 0.000], [0.000, 0.000, 0.500]]
}

---

Record 2
{
  "formula": "Mn5Al",
  "functional": "GGA-PBE",
  "state": "relaxed",
  "e_above_lowest_polymorph_ev_per_atom": 0.095,
  "volume_a3_per_cell": 67.4,
  "sg": "P-62m, No. 189",
  "lattice": [[4.327, 0.000, 0.000], [-2.163, 3.747, 0.000], [0.000, 0.000, 4.156]],
  "species": ["Mn", "Mn", "Mn", "Mn", "Mn", "Al"],
  "fractional_positions": [[0.000, 0.672, 0.000], [0.328, 0.328, 0.000], [0.333, 0.667, 0.500], [0.667, 0.333, 0.500], [0.672, 0.000, 0.000], [0.000, 0.000, 0.500]]
}

---

Record 3
{
  "formula": "Mn5Al3",
  "functional": "GGA-PBE",
  "state": "relaxed",
  "dft_energy_ev_per_atom": -7.179,
  "volume_a3_per_cell": 198.9,
  "sg": "I4/mcm, No. 140",
  "lattice": [[-4.625, 4.625, 2.324], [4.625, -4.625, 2.324], [4.625, 4.625, -2.324]],
  "species": ["Mn", "Mn", "Mn", "Mn", "Mn", "Mn", "Mn", "Mn", "Mn", "Mn", "Al", "Al", "Al", "Al", "Al", "Al"],
  "fractional_positions": [[0.071, 0.764, 0.834], [0.236, 0.071, 0.307], [0.250, 0.750, 0.500], [0.264, 0.571, 0.834], [0.429, 0.264, 0.693], [0.571, 0.736, 0.307], [0.736, 0.429, 0.166], [0.750, 0.250, 0.500], [0.764, 0.929, 0.693], [0.929, 0.236, 0.166], [0.174, 0.326, 0.500], [0.250, 0.250, 0.000], [0.326, 0.826, 0.152], [0.674, 0.174, 0.848], [0.750, 0.750, 0.000], [0.826, 0.674, 0.500]]
}